PBE+U VSnPbO5, optimized geometry; spin magnetization = 0.125 μB per atom; DFT total energy = -6.628 eV per atom
1.0
-0.575 5.012 -3.206
0.148 -4.589 -3.829
-6.720 -0.725 3.380
V Sn Pb O
2 2 2 10
Direct
0.680 0.320 0.250
0.320 0.680 0.750
0.000 0.000 0.500
0.000 0.000 0.000
0.320 0.680 0.250
0.680 0.320 0.750
0.077 0.923 0.250
0.923 0.077 0.750
0.895 0.301 0.109
0.105 0.699 0.891
0.699 0.105 0.391
0.301 0.895 0.609
0.755 0.621 0.419
0.245 0.379 0.581
0.379 0.245 0.081
0.621 0.755 0.919